VOsI2O PBE+U relaxed; spin magnetization = 1.09 μB per cell; space-group type = No. 123; D(E_F) = 3.55 states/eV/cell; crystal system = tetragonal; energy above the most stable polymorph in this dataset = 0 meV/atom
1.0
5.432 0.000 0.000
0.000 5.432 0.000
0.000 0.000 3.572
Os V O I
1 1 1 2
direct
0.500 0.500 0.500
0.000 0.000 0.000
0.000 0.000 0.500
0.500 0.000 0.000
0.000 0.500 0.000